(1)
Compound: Ba6CuAu2I3
Source: Alexandria
Functional: PBE
Structure: relaxed

Cell: 8.200 8.200 9.281 Å, 98.47 98.47 120.00°
Sites, in units of the cell vectors:
Ba  0.069  0.400  0.207
Ba  0.262  0.262  0.793
Ba  0.400  0.069  0.207
Ba  0.600  0.931  0.793
Ba  0.738  0.738  0.207
Ba  0.931  0.600  0.793
Cu  0.000  0.000  0.000
Au  0.333  0.667  0.000
Au  0.667  0.333  0.000
I  0.167  0.833  0.500
I  0.500  0.500  0.500
I  0.833  0.167  0.500

Results
Formation energy from raw total energies (eV/atom): -0.94
M_tot (μB per formula unit): 0.0
Crystal system: monoclinic

(2)
Compound: BaInCuAu3
Source: Alexandria
Functional: PBE
Structure: relaxed

Cell: 6.981 6.981 7.603 Å, 90.00 90.00 125.47°
Sites, in units of the cell vectors:
Ba  0.204  0.796  0.750
Ba  0.796  0.204  0.250
In  0.111  0.889  0.250
In  0.889  0.111  0.750
Cu  0.458  0.542  0.750
Cu  0.542  0.458  0.250
Au  0.246  0.246  0.000
Au  0.246  0.246  0.500
Au  0.332  0.668  0.250
Au  0.668  0.332  0.750
Au  0.754  0.754  0.000
Au  0.754  0.754  0.500

Results
E_form (eV/atom): -0.315
M_tot (μB per formula unit): 0.0
Crystal system: orthorhombic

(3)
Compound: BaCuIrAu2
Source: Alexandria
Functional: PBE
Structure: relaxed

Cell: 4.787 4.787 5.508 Å, 90.00 90.00 90.00°
Sites, in units of the cell vectors:
Ba  0.000  0.000  0.000
Cu  0.000  0.000  0.500
Ir  0.500  0.500  0.000
Au  0.000  0.500  0.500
Au  0.500  0.000  0.500

Results
E_form (eV/atom): 0.771
M_tot (μB per formula unit): 0.0
Crystal system: tetragonal

(4)
Compound: BaLiCuAu2
Source: Alexandria
Functional: PBE
Structure: relaxed

Cell: 5.108 5.108 4.617 Å, 90.00 90.00 90.00°
Sites, in units of the cell vectors:
Ba  0.000  0.000  0.000
Li  0.500  0.500  0.000
Cu  0.500  0.500  0.500
Au  0.000  0.500  0.500
Au  0.500  0.000  0.500

Results
E_form (eV/atom): -0.318
M_tot (μB per formula unit): 0.0
Crystal system: tetragonal

(5)
Compound: BaMgCu2Au
Source: Alexandria
Functional: PBE
Structure: relaxed

Cell: 5.599 5.599 7.013 Å, 90.00 90.00 90.00°
Sites, in units of the cell vectors:
Ba  0.000  0.000  0.000
Mg  0.000  0.000  0.500
Cu  0.000  0.500  0.000
Cu  0.500  0.000  0.000
Au  0.500  0.500  0.500

Results
E_form (eV/atom): 1.316
M_tot (μB per formula unit): 0.0
Crystal system: tetragonal

(6)
Compound: BaNdCuAu
Source: Alexandria
Functional: PBE
Structure: relaxed

Cell: 5.407 5.407 5.407 Å, 60.00 60.00 60.00°
Sites, in units of the cell vectors:
Ba  0.000  0.000  0.000
Nd  0.500  0.500  0.500
Cu  0.750  0.750  0.750
Au  0.250  0.250  0.250

Results
E_form (eV/atom): -0.248
M_tot (μB per formula unit): 0.0
Crystal system: cubic

(7)
Compound: Ba2CuAu2O6
Source: Alexandria
Functional: PBE
Structure: relaxed

Cell: 6.612 6.612 6.612 Å, 55.27 55.27 55.27°
Sites, in units of the cell vectors:
Ba  0.217  0.217  0.217
Ba  0.783  0.783  0.783
Cu  0.000  0.000  0.000
Au  0.411  0.411  0.411
Au  0.589  0.589  0.589
O  0.202  0.778  0.778
O  0.222  0.222  0.798
O  0.222  0.798  0.222
O  0.778  0.202  0.778
O  0.778  0.778  0.202
O  0.798  0.222  0.222

Results
Formation energy from raw total energies (eV/atom): -0.89
M_tot (μB per formula unit): 0.0
Crystal system: trigonal

(8)
Compound: Ba2CuAuO4
Source: Alexandria
Functional: PBE
Structure: relaxed

Cell: 5.599 5.599 5.599 Å, 111.92 111.92 104.67°
Sites, in units of the cell vectors:
Ba  0.000  0.000  0.000
Ba  0.750  0.250  0.500
Cu  0.500  0.500  0.000
Au  0.250  0.750  0.500
O  0.273  0.686  0.068
O  0.314  0.382  0.587
O  0.618  0.205  0.932
O  0.795  0.727  0.413

Results
Formation energy from raw total energies (eV/atom): -1.24
M_tot (μB per formula unit): 0.0
Crystal system: tetragonal

(9)
Compound: BaCuPAu
Source: Alexandria
Functional: PBE
Structure: relaxed

Cell: 4.007 4.007 11.489 Å, 90.00 90.00 90.00°
Sites, in units of the cell vectors:
Ba  0.250  0.250  0.249
Ba  0.750  0.750  0.751
Cu  0.250  0.750  0.000
Cu  0.750  0.250  0.000
P  0.250  0.250  0.887
P  0.750  0.750  0.113
Au  0.250  0.750  0.500
Au  0.750  0.250  0.500

Results
E_form (eV/atom): -0.572
M_tot (μB per formula unit): 0.0
Crystal system: tetragonal

(10)
Compound: BaCuPd2Au
Source: Alexandria
Functional: PBE
Structure: relaxed

Cell: 4.751 4.751 5.733 Å, 90.00 90.00 90.00°
Sites, in units of the cell vectors:
Ba  0.000  0.000  0.000
Cu  0.000  0.000  0.500
Pd  0.000  0.500  0.500
Pd  0.500  0.000  0.500
Au  0.500  0.500  0.000

Results
E_form (eV/atom): 0.237
M_tot (μB per formula unit): 0.0
Crystal system: tetragonal

(11)
Compound: BaPmCuAu
Source: Alexandria
Functional: PBE
Structure: relaxed

Cell: 5.389 5.389 5.389 Å, 60.00 60.00 60.00°
Sites, in units of the cell vectors:
Ba  0.000  0.000  0.000
Pm  0.500  0.500  0.500
Cu  0.750  0.750  0.750
Au  0.250  0.250  0.250

Results
E_form (eV/atom): -0.245
M_tot (μB per formula unit): 0.0
Crystal system: cubic

(12)
Compound: BaPrCuAu
Source: Alexandria
Functional: PBE
Structure: relaxed

Cell: 5.426 5.426 5.426 Å, 60.00 60.00 60.00°
Sites, in units of the cell vectors:
Ba  0.000  0.000  0.000
Pr  0.500  0.500  0.500
Cu  0.250  0.250  0.250
Au  0.750  0.750  0.750

Results
E_form (eV/atom): -0.253
M_tot (μB per formula unit): 0.0
Crystal system: cubic

(13)
Compound: Ba6CuPtAu2
Source: Alexandria
Functional: PBE
Structure: relaxed

Cell: 8.158 8.160 8.930 Å, 62.82 62.83 60.05°
Sites, in units of the cell vectors:
Ba  0.000  0.000  0.000
Ba  0.141  0.514  0.488
Ba  0.323  0.304  0.000
Ba  0.484  0.817  0.488
Ba  0.626  0.678  0.000
Ba  0.838  0.161  0.488
Cu  0.733  0.410  0.752
Pt  0.232  0.909  0.254
Au  0.411  0.088  0.716
Au  0.907  0.584  0.229

Results
E_form (eV/atom): -0.462
M_tot (μB per formula unit): 0.0
Crystal system: triclinic

(14)
Compound: Ba6CuRhAu2
Source: Alexandria
Functional: PBE
Structure: relaxed

Cell: 8.099 8.102 8.897 Å, 117.07 90.01 119.97°
Sites, in units of the cell vectors:
Ba  0.000  0.000  0.000
Ba  0.142  0.661  0.518
Ba  0.298  0.663  0.999
Ba  0.520  0.364  0.518
Ba  0.664  0.365  0.000
Ba  0.818  0.040  0.518
Cu  0.409  0.519  0.262
Rh  0.909  0.521  0.766
Au  0.236  0.172  0.745
Au  0.731  0.163  0.231

Results
E_form (eV/atom): -0.330
M_tot (μB per formula unit): 0.0
Crystal system: triclinic

(15)
Compound: BaCu2SbAu
Source: Alexandria
Functional: PBE
Structure: relaxed

Cell: 5.396 5.396 6.506 Å, 90.00 90.00 90.00°
Sites, in units of the cell vectors:
Ba  0.000  0.000  0.000
Cu  0.000  0.500  0.000
Cu  0.500  0.000  0.000
Sb  0.000  0.000  0.500
Au  0.500  0.500  0.500

Results
Formation energy from raw total energies (eV/atom): 1.42
M_tot (μB per formula unit): 0.0
Crystal system: tetragonal

(16)
Compound: Ba2Cu3Sb4Au
Source: Alexandria
Functional: PBE
Structure: relaxed

Cell: 4.807 4.807 10.817 Å, 90.00 90.00 90.00°
Sites, in units of the cell vectors:
Ba  0.000  0.500  0.244
Ba  0.500  0.000  0.756
Cu  0.000  0.000  0.000
Cu  0.000  0.500  0.622
Cu  0.500  0.000  0.378
Sb  0.000  0.000  0.500
Sb  0.000  0.500  0.867
Sb  0.500  0.000  0.133
Sb  0.500  0.500  0.500
Au  0.500  0.500  0.000

Results
Formation energy from raw total energies (eV/atom): -0.50
M_tot (μB per formula unit): 0.0
Crystal system: tetragonal

(17)
Compound: Ba2CuSb4Au3
Source: Alexandria
Functional: PBE
Structure: relaxed

Cell: 4.885 4.885 11.290 Å, 90.00 90.00 90.00°
Sites, in units of the cell vectors:
Ba  0.000  0.500  0.239
Ba  0.500  0.000  0.761
Cu  0.500  0.500  0.000
Sb  0.000  0.000  0.500
Sb  0.000  0.500  0.879
Sb  0.500  0.000  0.121
Sb  0.500  0.500  0.500
Au  0.000  0.000  0.000
Au  0.000  0.500  0.635
Au  0.500  0.000  0.365

Results
Formation energy from raw total energies (eV/atom): -0.56
M_tot (μB per formula unit): 0.0
Crystal system: tetragonal

(18)
Compound: BaCuSiAu2
Source: Alexandria
Functional: PBE
Structure: relaxed

Cell: 5.063 5.063 4.637 Å, 90.00 90.00 90.00°
Sites, in units of the cell vectors:
Ba  0.000  0.000  0.000
Cu  0.500  0.500  0.000
Si  0.500  0.500  0.500
Au  0.000  0.500  0.500
Au  0.500  0.000  0.500

Results
Formation energy from raw total energies (eV/atom): -0.34
M_tot (μB per formula unit): 0.0
Crystal system: tetragonal

(19)
Compound: Ba2CuSiAu
Source: Alexandria
Functional: PBE
Structure: relaxed

Cell: 6.147 6.147 4.351 Å, 90.00 90.00 90.00°
Sites, in units of the cell vectors:
Ba  0.000  0.500  0.000
Ba  0.500  0.000  0.000
Cu  0.000  0.000  0.000
Si  0.000  0.000  0.500
Au  0.500  0.500  0.500

Results
Formation energy from raw total energies (eV/atom): -0.28
M_tot (μB per formula unit): 0.0
Crystal system: tetragonal

(20)
Compound: Ba2CuSnAu6
Source: Alexandria
Functional: PBE
Structure: relaxed

Cell: 6.410 7.105 7.347 Å, 85.55 64.21 63.21°
Sites, in units of the cell vectors:
Ba  0.048  0.195  0.208
Ba  0.952  0.805  0.792
Cu  0.500  0.000  0.500
Sn  0.500  0.500  0.000
Au  0.020  0.275  0.724
Au  0.378  0.367  0.377
Au  0.481  0.276  0.724
Au  0.519  0.724  0.276
Au  0.622  0.633  0.623
Au  0.980  0.725  0.276

Results
E_form (eV/atom): -0.437
M_tot (μB per formula unit): 0.0
Crystal system: triclinic

(21)
Compound: Ba2CuSn4Au3
Source: Alexandria
Functional: PBE
Structure: relaxed

Cell: 4.819 4.819 11.464 Å, 90.00 90.00 90.00°
Sites, in units of the cell vectors:
Ba  0.000  0.500  0.240
Ba  0.500  0.000  0.760
Cu  0.500  0.500  0.000
Sn  0.000  0.000  0.500
Sn  0.000  0.500  0.882
Sn  0.500  0.000  0.118
Sn  0.500  0.500  0.500
Au  0.000  0.000  0.000
Au  0.000  0.500  0.638
Au  0.500  0.000  0.362

Results
E_form (eV/atom): -0.532
M_tot (μB per formula unit): 0.0
Crystal system: tetragonal

(22)
Compound: BaCuSnAu3
Source: Alexandria
Functional: PBE
Structure: relaxed

Cell: 6.987 6.987 7.470 Å, 90.00 90.00 124.44°
Sites, in units of the cell vectors:
Ba  0.210  0.790  0.750
Ba  0.790  0.210  0.250
Cu  0.463  0.537  0.750
Cu  0.537  0.463  0.250
Sn  0.109  0.891  0.250
Sn  0.891  0.109  0.750
Au  0.245  0.245  0.000
Au  0.245  0.245  0.500
Au  0.329  0.671  0.250
Au  0.671  0.329  0.750
Au  0.755  0.755  0.000
Au  0.755  0.755  0.500

Results
E_form (eV/atom): -0.335
M_tot (μB per formula unit): 0.0
Crystal system: orthorhombic

(23)
Compound: BaCuSn2Au
Source: Alexandria
Functional: PBE
Structure: relaxed

Cell: 6.565 6.565 6.565 Å, 136.73 136.73 62.86°
Sites, in units of the cell vectors:
Ba  0.000  0.000  0.000
Cu  0.250  0.750  0.500
Sn  0.367  0.367  0.000
Sn  0.633  0.633  0.000
Au  0.750  0.250  0.500

Results
E_form (eV/atom): -0.436
M_tot (μB per formula unit): 0.0
Crystal system: tetragonal

(24)
Compound: BaCu2TcAu
Source: Alexandria
Functional: PBE
Structure: relaxed

Cell: 4.909 4.909 5.960 Å, 90.00 90.00 90.00°
Sites, in units of the cell vectors:
Ba  0.000  0.000  0.000
Cu  0.000  0.500  0.500
Cu  0.500  0.000  0.500
Tc  0.500  0.500  0.000
Au  0.000  0.000  0.500

Results
E_form (eV/atom): 1.127
M_tot (μB per formula unit): 3.8
Crystal system: tetragonal

(25)
Compound: BaTl2CuAu
Source: Alexandria
Functional: PBE
Structure: relaxed

Cell: 5.219 5.219 5.230 Å, 90.00 90.00 90.00°
Sites, in units of the cell vectors:
Ba  0.000  0.000  0.000
Tl  0.000  0.500  0.500
Tl  0.500  0.000  0.500
Cu  0.500  0.500  0.500
Au  0.500  0.500  0.000

Results
E_form (eV/atom): -0.144
M_tot (μB per formula unit): 0.0
Polymorph energy (0 for the lowest one) (meV/atom): 0.0
Crystal system: tetragonal

Number 1: VASP energy -3.172 eV/atom. Number 2: VASP energy -3.414 eV/atom. Number 3: VASP energy -3.516 eV/atom. Number 4: VASP energy -3.216 eV/atom. Number 5: VASP energy -1.682 eV/atom. Number 6: VASP energy -3.764 eV/atom. Number 7: VASP energy -4.909 eV/atom. Number 8: VASP energy -5.126 eV/atom. Number 9: VASP energy -4.249 eV/atom. Number 10: VASP energy -3.700 eV/atom. Number 11: VASP energy -3.756 eV/atom. Number 12: VASP energy -3.772 eV/atom. Number 13: VASP energy -3.285 eV/atom. Number 14: VASP energy -3.284 eV/atom. Number 15: VASP energy -2.080 eV/atom. Number 16: VASP energy -4.086 eV/atom. Number 17: VASP energy -3.988 eV/atom. Number 18: VASP energy -3.940 eV/atom. Number 19: VASP energy -3.606 eV/atom. Number 20: VASP energy -3.597 eV/atom. Number 21: VASP energy -3.910 eV/atom. Number 22: VASP energy -3.644 eV/atom. Number 23: VASP energy -3.896 eV/atom. Number 24: VASP energy -3.625 eV/atom. Number 25: VASP energy -2.950 eV/atom.